The following is a DFT calculation (PBE) of a relaxed LiTb2UP4 crystal.

Computed properties:
M_tot: 0.9 Bohr magnetons per cell
Calculated formation energy: -1.07 eV per atom

a = 3.991 Å, b = 6.750 Å, c = 6.860 Å
α = 108.57°, β = 90.00°, γ = 90.00°
Site moments in Bohr magnetons follow the coordinates.
Fractional positions:
P  0.500  0.244  0.239  -0.04
U  0.000  0.000  0.000  1.02
Tb  0.500  0.000  0.500  -0.02
P  0.000  0.239  0.761  -0.04
Li  0.500  0.500  0.000  0.00
P  0.500  0.756  0.761  -0.04
Tb  0.000  0.500  0.500  0.03
P  0.000  0.761  0.239  -0.04